(1)
NdPuCuRu | Alexandria | PBE-GGA | optimized geometry; density of states at the Fermi level = 11.33 states/eV/cell; energy of formation = -0.038 eV/atom
1.0
0.000 3.488 3.488
3.488 0.000 3.488
3.488 3.488 0.000
Nd Pu Cu Ru
1 1 1 1
Direct
0.000 0.000 0.000
0.500 0.500 0.500
0.750 0.750 0.750
0.250 0.250 0.250

=====

(2)
Ca2Pr4Nd | Alexandria | PBE-GGA | optimized geometry; density of states at the Fermi level = 10.51 states/eV/cell; energy of formation = 0.101 eV/atom; polymorph energy (0 for the lowest one) = 0.0 meV/atom
1.0
-1.811 3.003 12.037
1.811 -3.003 12.037
1.811 3.003 -12.037
Ca Pr Nd
2 4 1
Direct
0.221 0.221 0.000
0.779 0.779 0.000
0.080 0.580 0.500
0.368 0.868 0.500
0.632 0.132 0.500
0.920 0.420 0.500
0.500 0.500 0.000